Record 1
YFe2Ag: optimized geometry, GGA-PBE. Values from VASP.

Computed properties:
energy	-25.7	eV per cell
formation enthalpy at 0 K	0.14	eV per atom
ρ	7.28	g/cm³
symmetry	Pm (6)
energy above the most stable polymorph in this dataset	0.00	eV per formula unit
magnetic moment	4.9	Bohr magnetons per cell
calculated volume	17.6	A^3/atom

Cell and atoms, written as Quantum ESPRESSO input:
```
&SYSTEM
  ibrav = 0, nat = 4, ntyp = 3
/
ATOMIC_SPECIES
Ag 107.87 Ag.upf
Fe 55.84 Fe.upf
Y 88.91 Y.upf
CELL_PARAMETERS angstrom
-0.320 0.596 3.091
0.645 -3.075 0.660
7.388 -1.559 1.065
ATOMIC_POSITIONS crystal
Ag 0.500 0.706 0.794
Fe 0.000 0.961 0.040
Y 0.000 0.527 0.473
Fe 0.500 0.307 0.194
```

Record 2
YFe2Ag: optimized geometry, GGA-PBE. Values from VASP.

Computed properties:
energy	-24.4	eV per cell
formation enthalpy at 0 K	0.46	eV per atom
ρ	7.39	g/cm³
symmetry	C2/m (12)
energy above the most stable polymorph in this dataset	1.26	eV per formula unit
magnetic moment	4.3	Bohr magnetons per cell
calculated volume	17.3	A^3/atom

Cell and atoms, written as Quantum ESPRESSO input:
```
&SYSTEM
  ibrav = 0, nat = 4, ntyp = 3
/
ATOMIC_SPECIES
Ag 107.87 Ag.upf
Fe 55.84 Fe.upf
Y 88.91 Y.upf
CELL_PARAMETERS angstrom
5.329 -0.005 0.008
-2.372 4.693 -0.005
0.593 0.797 2.773
ATOMIC_POSITIONS crystal
Ag 0.500 0.000 0.500
Fe 0.000 0.000 0.000
Fe 0.000 0.500 0.500
Y 0.500 0.500 0.000
```

Record 3
Zn2FeAg: optimized geometry, GGA-PBE. Values from VASP.

Computed properties:
energy	-13.1	eV per cell
formation enthalpy at 0 K	0.19	eV per atom
ρ	8.07	g/cm³
symmetry	P3m1 (156)
energy above the most stable polymorph in this dataset	0.66	eV per formula unit
magnetic moment	2.4	Bohr magnetons per cell
calculated volume	15.1	A^3/atom

Cell and atoms, written as Quantum ESPRESSO input:
```
&SYSTEM
  ibrav = 0, nat = 4, ntyp = 3
/
ATOMIC_SPECIES
Zn 65.41 Zn.upf
Ag 107.87 Ag.upf
Fe 55.84 Fe.upf
CELL_PARAMETERS angstrom
-1.839 -0.770 -1.888
-0.034 -1.143 2.496
-5.800 6.617 2.949
ATOMIC_POSITIONS crystal
Zn 0.333 0.667 0.751
Zn 0.667 0.333 0.261
Ag 0.000 0.000 0.006
Fe 0.667 0.333 0.527
```

Record 4
Zn2FeAg: optimized geometry, GGA-PBE. Values from VASP.

Computed properties:
energy	-13.4	eV per cell
formation enthalpy at 0 K	0.12	eV per atom
ρ	8.31	g/cm³
symmetry	Pm (6)
energy above the most stable polymorph in this dataset	0.42	eV per formula unit
magnetic moment	2.6	Bohr magnetons per cell
calculated volume	14.7	A^3/atom

Cell and atoms, written as Quantum ESPRESSO input:
```
&SYSTEM
  ibrav = 0, nat = 4, ntyp = 3
/
ATOMIC_SPECIES
Zn 65.41 Zn.upf
Ag 107.87 Ag.upf
Fe 55.84 Fe.upf
CELL_PARAMETERS angstrom
-0.807 -0.014 -4.110
-1.797 -2.048 0.360
-4.677 2.340 0.911
ATOMIC_POSITIONS crystal
Zn 0.500 0.048 0.260
Ag 0.000 0.442 0.475
Fe 0.500 0.800 0.787
Zn 0.000 0.210 0.978
```

Record 5
ZnFeAg2: optimized geometry, GGA-PBE. Values from VASP.

Computed properties:
energy	-14.7	eV per cell
formation enthalpy at 0 K	0.17	eV per atom
ρ	8.93	g/cm³
symmetry	R3m (160)
magnetic moment	2.6	Bohr magnetons per cell
calculated volume	15.7	A^3/atom

Cell and atoms, written as Quantum ESPRESSO input:
```
&SYSTEM
  ibrav = 0, nat = 4, ntyp = 3
/
ATOMIC_SPECIES
Zn 65.41 Zn.upf
Fe 55.84 Fe.upf
Ag 107.87 Ag.upf
CELL_PARAMETERS angstrom
9.252 0.005 0.003
8.821 2.791 0.003
8.821 1.365 2.435
ATOMIC_POSITIONS crystal
Zn 0.755 0.755 0.755
Fe 0.496 0.496 0.496
Ag 0.004 0.004 0.004
Ag 0.245 0.245 0.245
```

Record 6
ZnFeAg2: optimized geometry, GGA-PBE. Values from VASP.

Computed properties:
energy	-14.5	eV per cell
formation enthalpy at 0 K	0.25	eV per atom
ρ	8.93	g/cm³
symmetry	I4/mmm (139)
magnetic moment	2.8	Bohr magnetons per cell
calculated volume	15.7	A^3/atom

Cell and atoms, written as Quantum ESPRESSO input:
```
&SYSTEM
  ibrav = 0, nat = 4, ntyp = 3
/
ATOMIC_SPECIES
Ag 107.87 Ag.upf
Fe 55.84 Fe.upf
Zn 65.41 Zn.upf
CELL_PARAMETERS angstrom
4.783 0.010 0.000
1.359 4.586 0.000
-3.071 -2.298 2.858
ATOMIC_POSITIONS crystal
Ag 0.500 0.500 0.000
Fe 0.250 0.750 0.500
Ag 0.000 0.000 0.000
Zn 0.750 0.250 0.500
```

Record 7
ZnFeAg4: optimized geometry, GGA-PBE. Values from VASP.

Computed properties:
energy	-18.2	eV per cell
formation enthalpy at 0 K	0.50	eV per atom
ρ	8.23	g/cm³
symmetry	F-43m (216)
magnetic moment	3.2	Bohr magnetons per cell
calculated volume	18.6	A^3/atom

Cell and atoms, written as Quantum ESPRESSO input:
```
&SYSTEM
  ibrav = 0, nat = 6, ntyp = 3
/
ATOMIC_SPECIES
Ag 107.87 Ag.upf
Fe 55.84 Fe.upf
Zn 65.41 Zn.upf
CELL_PARAMETERS angstrom
1.586 -4.986 -1.351
0.972 -3.663 3.852
-3.362 -4.178 0.665
ATOMIC_POSITIONS crystal
Ag 0.375 0.875 0.375
Ag 0.375 0.375 0.375
Fe 0.750 0.750 0.750
Ag 0.875 0.375 0.375
Zn 0.000 0.000 0.000
Ag 0.375 0.375 0.875
```

Record 8
Zn2FeAg: optimized geometry, GGA-PBE. Values from VASP.

Computed properties:
energy	-13.1	eV per cell
formation enthalpy at 0 K	0.18	eV per atom
ρ	8.30	g/cm³
symmetry	I-4m2 (119)
energy above the most stable polymorph in this dataset	0.63	eV per formula unit
magnetic moment	2.7	Bohr magnetons per cell
calculated volume	14.7	A^3/atom

Cell and atoms, written as Quantum ESPRESSO input:
```
&SYSTEM
  ibrav = 0, nat = 4, ntyp = 3
/
ATOMIC_SPECIES
Zn 65.41 Zn.upf
Fe 55.84 Fe.upf
Ag 107.87 Ag.upf
CELL_PARAMETERS angstrom
-1.078 1.520 4.504
-4.744 -0.388 1.049
3.322 -3.057 -1.837
ATOMIC_POSITIONS crystal
Zn 0.000 0.000 0.000
Fe 0.750 0.250 0.500
Zn 0.250 0.750 0.500
Ag 0.500 0.500 0.000
```

Record 9
Zn2FeAg: optimized geometry, GGA-PBE. Values from VASP.

Computed properties:
energy	-24.5	eV per cell
formation enthalpy at 0 K	0.40	eV per atom
ρ	7.48	g/cm³
symmetry	I-42d (122)
energy above the most stable polymorph in this dataset	1.54	eV per formula unit
magnetic moment	5.1	Bohr magnetons per cell
calculated volume	16.3	A^3/atom

Cell and atoms, written as Quantum ESPRESSO input:
```
&SYSTEM
  ibrav = 0, nat = 8, ntyp = 3
/
ATOMIC_SPECIES
Fe 55.84 Fe.upf
Zn 65.41 Zn.upf
Ag 107.87 Ag.upf
CELL_PARAMETERS angstrom
3.772 0.000 0.000
0.000 3.772 0.000
1.886 1.886 9.190
ATOMIC_POSITIONS crystal
Fe 0.500 0.500 0.000
Zn 0.875 0.863 0.750
Zn 0.613 0.125 0.250
Fe 0.250 0.750 0.500
Ag 0.000 0.000 0.000
Ag 0.750 0.250 0.500
Zn 0.375 0.387 0.750
Zn 0.137 0.625 0.250
```

Record 10
Zn2FeAg: optimized geometry, GGA-PBE. Values from VASP.

Computed properties:
energy	-13.2	eV per cell
formation enthalpy at 0 K	0.17	eV per atom
ρ	8.24	g/cm³
symmetry	Immm (71)
energy above the most stable polymorph in this dataset	0.59	eV per formula unit
magnetic moment	2.5	Bohr magnetons per cell
calculated volume	14.8	A^3/atom

Cell and atoms, written as Quantum ESPRESSO input:
```
&SYSTEM
  ibrav = 0, nat = 4, ntyp = 3
/
ATOMIC_SPECIES
Zn 65.41 Zn.upf
Ag 107.87 Ag.upf
Fe 55.84 Fe.upf
CELL_PARAMETERS angstrom
-4.377 1.498 2.442
-3.728 -3.618 0.617
4.877 1.593 1.024
ATOMIC_POSITIONS crystal
Zn 0.489 0.489 0.000
Ag 0.750 0.250 0.500
Zn 0.011 0.011 0.000
Fe 0.250 0.750 0.500
```

Record 11
Zn2FeAg: optimized geometry, GGA-PBE. Values from VASP.

Computed properties:
energy	-13.3	eV per cell
formation enthalpy at 0 K	0.15	eV per atom
ρ	8.17	g/cm³
symmetry	R3m (160)
energy above the most stable polymorph in this dataset	0.51	eV per formula unit
magnetic moment	2.5	Bohr magnetons per cell
calculated volume	15.0	A^3/atom

Cell and atoms, written as Quantum ESPRESSO input:
```
&SYSTEM
  ibrav = 0, nat = 4, ntyp = 3
/
ATOMIC_SPECIES
Zn 65.41 Zn.upf
Ag 107.87 Ag.upf
Fe 55.84 Fe.upf
CELL_PARAMETERS angstrom
-3.597 2.458 -8.278
-1.366 1.151 -9.182
-3.643 -0.260 -8.611
ATOMIC_POSITIONS crystal
Zn 0.005 0.005 0.005
Ag 0.497 0.497 0.497
Zn 0.250 0.250 0.250
Fe 0.747 0.747 0.747
```

Record 12
Zn2FeAg: optimized geometry, GGA-PBE. Values from VASP.

Computed properties:
energy	-13.8	eV per cell
formation enthalpy at 0 K	0.02	eV per atom
ρ	8.49	g/cm³
symmetry	Cmmm (65)
energy above the most stable polymorph in this dataset	0.00	eV per formula unit
magnetic moment	2.1	Bohr magnetons per cell
calculated volume	14.4	A^3/atom

Cell and atoms, written as Quantum ESPRESSO input:
```
&SYSTEM
  ibrav = 0, nat = 4, ntyp = 3
/
ATOMIC_SPECIES
Fe 55.84 Fe.upf
Zn 65.41 Zn.upf
Ag 107.87 Ag.upf
CELL_PARAMETERS angstrom
2.712 0.001 0.000
0.004 2.712 0.000
0.000 0.000 7.829
ATOMIC_POSITIONS crystal
Fe 0.500 0.500 0.750
Zn 0.000 0.000 0.977
Zn 0.000 0.000 0.523
Ag 0.500 0.500 0.250
```

Record 13
Zn2FeAg: optimized geometry, GGA-PBE. Values from VASP.

Computed properties:
energy	-13.6	eV per cell
formation enthalpy at 0 K	0.07	eV per atom
ρ	8.44	g/cm³
symmetry	P2/m (10)
energy above the most stable polymorph in this dataset	0.21	eV per formula unit
magnetic moment	2.2	Bohr magnetons per cell
calculated volume	14.5	A^3/atom

Cell and atoms, written as Quantum ESPRESSO input:
```
&SYSTEM
  ibrav = 0, nat = 4, ntyp = 3
/
ATOMIC_SPECIES
Zn 65.41 Zn.upf
Ag 107.87 Ag.upf
Fe 55.84 Fe.upf
CELL_PARAMETERS angstrom
-0.372 3.038 -1.748
-2.266 0.557 1.449
1.088 3.331 5.556
ATOMIC_POSITIONS crystal
Zn 0.000 0.027 0.973
Zn 0.000 0.473 0.527
Ag 0.500 0.250 0.250
Fe 0.500 0.750 0.750
```

Record 14
ZnFeAg2: optimized geometry, GGA-PBE. Values from VASP.

Computed properties:
energy	-27.1	eV per cell
formation enthalpy at 0 K	0.47	eV per atom
ρ	8.15	g/cm³
symmetry	I-42d (122)
magnetic moment	5.4	Bohr magnetons per cell
calculated volume	17.2	A^3/atom

Cell and atoms, written as Quantum ESPRESSO input:
```
&SYSTEM
  ibrav = 0, nat = 8, ntyp = 3
/
ATOMIC_SPECIES
Ag 107.87 Ag.upf
Zn 65.41 Zn.upf
Fe 55.84 Fe.upf
CELL_PARAMETERS angstrom
3.803 0.000 0.000
0.000 3.803 0.000
1.902 1.902 9.495
ATOMIC_POSITIONS crystal
Ag 0.375 0.374 0.750
Zn 0.000 0.000 0.000
Fe 0.500 0.500 0.000
Ag 0.875 0.876 0.750
Fe 0.250 0.750 0.500
Ag 0.626 0.125 0.250
Zn 0.750 0.250 0.500
Ag 0.124 0.625 0.250
```

Record 15
Zn4FeAg: optimized geometry, GGA-PBE. Values from VASP.

Computed properties:
energy	-16.3	eV per cell
formation enthalpy at 0 K	0.01	eV per atom
ρ	8.07	g/cm³
symmetry	P4/mmm (123)
energy above the most stable polymorph in this dataset	0.00	eV per formula unit
magnetic moment	2.3	Bohr magnetons per cell
calculated volume	14.6	A^3/atom

Cell and atoms, written as Quantum ESPRESSO input:
```
&SYSTEM
  ibrav = 0, nat = 6, ntyp = 3
/
ATOMIC_SPECIES
Zn 65.41 Zn.upf
Fe 55.84 Fe.upf
Ag 107.87 Ag.upf
CELL_PARAMETERS angstrom
2.720 0.000 0.000
0.000 2.720 0.000
0.000 0.000 11.829
ATOMIC_POSITIONS crystal
Zn 0.500 0.500 0.820
Zn 0.000 0.000 0.348
Fe 0.500 0.500 0.500
Zn 0.500 0.500 0.180
Zn 0.000 0.000 0.652
Ag 0.000 0.000 0.000
```

Record 16
Zn2FeAg: optimized geometry, GGA-PBE. Values from VASP.

Computed properties:
energy	-13.2	eV per cell
formation enthalpy at 0 K	0.16	eV per atom
ρ	8.40	g/cm³
symmetry	Fm-3m (225)
energy above the most stable polymorph in this dataset	0.55	eV per formula unit
magnetic moment	2.5	Bohr magnetons per cell
calculated volume	14.6	A^3/atom

Cell and atoms, written as Quantum ESPRESSO input:
```
&SYSTEM
  ibrav = 0, nat = 4, ntyp = 3
/
ATOMIC_SPECIES
Fe 55.84 Fe.upf
Ag 107.87 Ag.upf
Zn 65.41 Zn.upf
CELL_PARAMETERS angstrom
0.000 3.076 3.076
3.076 0.000 3.076
3.076 3.076 0.000
ATOMIC_POSITIONS crystal
Fe 0.000 0.000 0.000
Ag 0.500 0.500 0.500
Zn 0.750 0.750 0.750
Zn 0.250 0.250 0.250
```

Record 17
ZnFeAg2: optimized geometry, GGA-PBE. Values from VASP.

Computed properties:
energy	-14.4	eV per cell
formation enthalpy at 0 K	0.26	eV per atom
ρ	8.86	g/cm³
symmetry	Pmmm (47)
magnetic moment	2.6	Bohr magnetons per cell
calculated volume	15.8	A^3/atom

Cell and atoms, written as Quantum ESPRESSO input:
```
&SYSTEM
  ibrav = 0, nat = 4, ntyp = 3
/
ATOMIC_SPECIES
Fe 55.84 Fe.upf
Ag 107.87 Ag.upf
Zn 65.41 Zn.upf
CELL_PARAMETERS angstrom
2.837 0.000 0.000
0.000 4.731 0.000
0.000 0.000 4.704
ATOMIC_POSITIONS crystal
Fe 0.500 0.000 0.500
Ag 0.000 0.000 0.000
Zn 0.000 0.500 0.500
Ag 0.500 0.500 0.000
```

Record 18
Zn2FeAg: optimized geometry, GGA-PBE. Values from VASP.

Computed properties:
energy	-13.3	eV per cell
formation enthalpy at 0 K	0.14	eV per atom
ρ	8.31	g/cm³
symmetry	Pmm2 (25)
energy above the most stable polymorph in this dataset	0.49	eV per formula unit
magnetic moment	2.6	Bohr magnetons per cell
calculated volume	14.7	A^3/atom

Cell and atoms, written as Quantum ESPRESSO input:
```
&SYSTEM
  ibrav = 0, nat = 4, ntyp = 3
/
ATOMIC_SPECIES
Ag 107.87 Ag.upf
Zn 65.41 Zn.upf
Fe 55.84 Fe.upf
CELL_PARAMETERS angstrom
-0.133 0.786 -2.640
-3.876 -0.258 0.118
-0.302 5.254 1.580
ATOMIC_POSITIONS crystal
Ag 0.000 0.000 0.499
Zn 0.000 0.000 0.986
Zn 0.500 0.500 0.246
Fe 0.500 0.500 0.769
```

Record 19
ZnFeAg2: optimized geometry, GGA-PBE. Values from VASP.

Computed properties:
energy	-14.4	eV per cell
formation enthalpy at 0 K	0.26	eV per atom
ρ	8.83	g/cm³
symmetry	Immm (71)
magnetic moment	2.8	Bohr magnetons per cell
calculated volume	15.8	A^3/atom

Cell and atoms, written as Quantum ESPRESSO input:
```
&SYSTEM
  ibrav = 0, nat = 4, ntyp = 3
/
ATOMIC_SPECIES
Ag 107.87 Ag.upf
Zn 65.41 Zn.upf
Fe 55.84 Fe.upf
CELL_PARAMETERS angstrom
-4.185 -1.027 3.269
-4.291 -2.594 -2.029
5.276 0.001 1.192
ATOMIC_POSITIONS crystal
Ag 0.497 0.497 0.000
Zn 0.250 0.750 0.500
Ag 0.003 0.003 0.000
Fe 0.750 0.250 0.500
```

Record 20
ZnFeAg2: optimized geometry, GGA-PBE. Values from VASP.

Computed properties:
energy	-14.5	eV per cell
formation enthalpy at 0 K	0.22	eV per atom
ρ	8.91	g/cm³
symmetry	C2/m (12)
magnetic moment	2.9	Bohr magnetons per cell
calculated volume	15.7	A^3/atom

Cell and atoms, written as Quantum ESPRESSO input:
```
&SYSTEM
  ibrav = 0, nat = 4, ntyp = 3
/
ATOMIC_SPECIES
Fe 55.84 Fe.upf
Ag 107.87 Ag.upf
Zn 65.41 Zn.upf
CELL_PARAMETERS angstrom
4.847 0.003 0.014
4.034 2.688 0.014
0.814 0.247 4.828
ATOMIC_POSITIONS crystal
Fe 0.750 0.750 0.750
Ag 0.000 0.000 0.998
Ag 0.500 0.500 0.502
Zn 0.250 0.250 0.250
```